(1)
# Tb5Bi3 (GGA-PBE, relaxed)
data_Tb5Bi3
_symmetry_space_group_name_H-M 'P 1'
_symmetry_Int_Tables_number 1
_cell_length_a 9.220
_cell_length_b 9.220
_cell_length_c 6.401
_cell_angle_alpha 90.00
_cell_angle_beta 90.00
_cell_angle_gamma 120.00
loop_
_symmetry_equiv_pos_as_xyz
'x,y,z'
loop_
_atom_site_label
_atom_site_type_symbol
_atom_site_fract_x
_atom_site_fract_y
_atom_site_fract_z
Tb1 Tb 0.000 0.244 0.250
Tb2 Tb 0.000 0.756 0.750
Tb3 Tb 0.244 0.000 0.250
Tb4 Tb 0.244 0.244 0.750
Tb5 Tb 0.333 0.667 0.000
Tb6 Tb 0.333 0.667 0.500
Tb7 Tb 0.667 0.333 0.000
Tb8 Tb 0.667 0.333 0.500
Tb9 Tb 0.756 0.000 0.750
Tb10 Tb 0.756 0.756 0.250
Bi1 Bi 0.000 0.389 0.750
Bi2 Bi 0.000 0.611 0.250
Bi3 Bi 0.389 0.000 0.750
Bi4 Bi 0.389 0.389 0.250
Bi5 Bi 0.611 0.000 0.250
Bi6 Bi 0.611 0.611 0.750
# SG = P6_3/mcm, No. 193
# Relative energy among the computed polymorphs = 0 meV per atom
# Raw total energy = -81.0 eV/cell
# Magnetization = 0.701 Bohr magnetons per cell
# DFT formation energy = -711 meV per atom
# Calculated density = 10.02 Mg/m³



(2)
# TbBi2 (GGA-PBE, relaxed)
data_TbBi2
_symmetry_space_group_name_H-M 'P 1'
_symmetry_Int_Tables_number 1
_cell_length_a 7.793
_cell_length_b 4.359
_cell_length_c 10.860
_cell_angle_alpha 90.00
_cell_angle_beta 90.00
_cell_angle_gamma 90.00
loop_
_symmetry_equiv_pos_as_xyz
'x,y,z'
loop_
_atom_site_label
_atom_site_type_symbol
_atom_site_fract_x
_atom_site_fract_y
_atom_site_fract_z
Tb1 Tb 0.211 0.250 0.146
Tb2 Tb 0.289 0.750 0.646
Tb3 Tb 0.711 0.250 0.354
Tb4 Tb 0.789 0.750 0.854
Bi1 Bi 0.094 0.250 0.820
Bi2 Bi 0.133 0.250 0.444
Bi3 Bi 0.367 0.750 0.944
Bi4 Bi 0.406 0.750 0.320
Bi5 Bi 0.594 0.250 0.680
Bi6 Bi 0.633 0.250 0.056
Bi7 Bi 0.867 0.750 0.556
Bi8 Bi 0.906 0.750 0.180
# SG = Pnma, No. 62
# Raw total energy = -56.2 eV/cell
# Magnetization = 0.000 Bohr magnetons per cell
# DFT formation energy = -550 meV per atom
# Calculated density = 10.39 Mg/m³



(3)
# Tb5Bi (GGA-PBE, relaxed)
data_Tb5Bi
_symmetry_space_group_name_H-M 'P 1'
_symmetry_Int_Tables_number 1
_cell_length_a 7.932
_cell_length_b 7.932
_cell_length_c 4.933
_cell_angle_alpha 90.00
_cell_angle_beta 90.00
_cell_angle_gamma 144.21
loop_
_symmetry_equiv_pos_as_xyz
'x,y,z'
loop_
_atom_site_label
_atom_site_type_symbol
_atom_site_fract_x
_atom_site_fract_y
_atom_site_fract_z
Tb1 Tb 0.000 0.000 0.000
Tb2 Tb 0.164 0.836 0.500
Tb3 Tb 0.331 0.669 0.000
Tb4 Tb 0.669 0.331 0.000
Tb5 Tb 0.836 0.164 0.500
Bi1 Bi 0.500 0.500 0.500
# SG = Cmmm, No. 65
# Raw total energy = -28.5 eV/cell
# Magnetization = 0.000 Bohr magnetons per cell
# DFT formation energy = -237 meV per atom
# Calculated density = 9.18 Mg/m³